Entry 1:
The following is a DFT calculation (PBE-GGA) of CoTc2Rh after structural relaxation.

Geometry as POSCAR:
```
CoTc2Rh
1.0
-2.2105 2.8975 -0.2743
-2.5686 -2.1041 -1.5270
-5.6811 -1.3612 7.0582
Tc Rh Co
4 2 2
Cartesian
-3.0642 1.1306 1.4095
-6.1212 -0.7793 4.5776
-8.3743 -0.2708 3.7581
-3.3607 -1.2162 0.7686
-5.1406 0.9665 2.9416
0.0000 0.0000 0.0000
-5.3196 -1.5343 2.3153
-2.3896 0.3967 -0.9006
```

Results
- Crystal system: tetragonal
- DOS(E_F): 11.11 states/eV/cell
- Relative energy among the computed polymorphs: 580 meV per atom
- Space group: I-42d (122)
- VASP energy: -8.2968 eV/atom
- Formation energy: 193 kJ/mol of formula units

Entry 2:
The following is a DFT calculation (PBE-GGA) of AcNpSe4 after structural relaxation.

Geometry as POSCAR:
```
AcNpSe4
1.0
-5.4545 0.2316 -4.0489
4.9330 -4.6481 -3.9336
-2.2936 -3.1552 7.1256
Np Se Ac
2 8 2
Cartesian
-4.2472 -0.1545 -2.8448
1.4321 -7.4171 1.9880
1.1528 -6.2988 -0.4860
-3.9679 -1.2729 -0.3709
-0.8333 -5.7351 2.1647
-1.9818 -1.8366 -3.0216
-2.2666 -5.2037 -1.3987
-0.5485 -2.3680 0.5418
-1.8832 -3.7580 -6.2291
-0.9318 -3.8137 5.3722
0.4294 -3.6802 -2.1526
-3.2445 -3.8914 1.2958
```

Results
- Crystal system: monoclinic
- DOS(E_F): 13.88 states/eV/cell
- Relative energy among the computed polymorphs: 0 meV per atom
- Formation energy without anion corrections: -1.286 eV per atom
- Space group: C2/c (15)
- VASP energy: -6.4506 eV/atom

Entry 3:
The following is a DFT calculation (PBE-GGA) of LiCaGa2Pd2 after structural relaxation.

Geometry as POSCAR:
```
LiCaGa2Pd2
1.0
-3.6993 0.6509 2.2821
-0.2024 -1.4026 -4.1603
0.1962 -6.3066 2.1166
Pd Ca Ga Li
2 1 2 1
Cartesian
-1.3089 -2.6214 -1.3741
-2.3967 -4.4369 1.6125
0.0000 0.0000 0.0000
-1.2325 -5.0764 -0.5501
-2.4731 -1.9819 0.7885
0.0981 -3.1533 1.0583
```

Results
- Crystal system: trigonal
- DOS(E_F): 2.64 states/eV/cell
- Space group: P-3m1 (164)
- VASP energy: -4.0658 eV/atom
- Formation energy: -390 kJ/mol of formula units

Entry 4:
The following is a DFT calculation (PBE-GGA) of TlIr2Pt after structural relaxation.

Geometry as POSCAR:
```
TlIr2Pt
1.0
-4.4744 1.4708 -1.1707
1.6553 -2.4409 -3.8544
-1.1016 -2.4785 1.0965
Ir Tl Pt
2 1 1
Cartesian
0.0000 0.0000 0.0000
-1.4096 -0.4851 -2.5126
0.2768 -2.4597 -1.3790
-2.7880 -0.5038 -0.0371
```

Results
- Crystal system: orthorhombic
- DOS(E_F): 4.41 states/eV/cell
- Relative energy among the computed polymorphs: 78 meV per atom
- Space group: Cmmm (65)
- VASP energy: -6.1339 eV/atom
- Formation energy: 154 kJ/mol of formula units

Entry 5:
The following is a DFT calculation (PBE-GGA) of BaGeO2 after structural relaxation.

Geometry as POSCAR:
```
BaGeO2
1.0
-3.3076 -2.1955 8.0080
-1.7702 -2.1056 -4.7431
-0.0989 -5.1068 1.9938
Ge Ba O
2 2 4
Cartesian
-2.9852 -6.6656 2.3100
-2.1915 -2.7423 2.9486
-0.5480 -4.4774 0.2635
-1.3210 -2.7350 -3.0128
-2.8431 -3.3245 1.1849
-2.3336 -6.0834 4.0737
-3.0215 -4.1684 7.2541
-2.1551 -5.2395 -1.9954
```

Results
- Crystal system: monoclinic
- DOS(E_F): 0.00 states/eV/cell
- Formation energy without anion corrections: -1.997 eV per atom
- Space group: C2/m (12)
- VASP energy: -6.1107 eV/atom

Entry 6:
The following is a DFT calculation (PBE-GGA) of YTeOs3 after structural relaxation.

Geometry as POSCAR:
```
YTeOs3
1.0
-1.0155 -4.7869 -0.3895
1.0234 0.1733 -4.7979
4.6924 -1.0738 0.9621
Te Os Y
1 3 1
Cartesian
2.3501 -2.8437 -2.1126
-0.5078 -2.3934 -0.1947
2.3462 -0.5369 0.4811
0.5117 0.0866 -2.3989
0.0000 0.0000 0.0000
```

Results
- Crystal system: cubic
- DOS(E_F): 6.71 states/eV/cell
- Relative energy among the computed polymorphs: 1348 meV per atom
- Formation energy without anion corrections: 2.828 eV per atom
- Space group: Pm-3m (221)
- VASP energy: -5.8312 eV/atom